[1]
DFT (PBEsol) results for an optimized crystal structure of La2Se3.

* size of the total moment: 0.0 μB/f.u.

Unit cell a=4.8102 b=4.8102 c=7.1910 alpha=90.00 beta=90.00 gamma=120.00
Space group P-3m1 (No. 164)
Asymmetric unit:
La: 0.3333 0.6667 0.2658 x2
Se: 0.0000 0.0000 0.5000 x1
Se: 0.3333 0.6667 0.8487 x2

***

[2]
DFT (PBEsol) results for an optimized crystal structure of Ca2Tl.

* formation energy: -0.293 eV per atom
* size of the total moment: 0.0 μB/f.u.

Unit cell a=3.962 b=12.679 c=7.935 alpha=90.00 beta=90.00 gamma=90.00
Space group Cmc2_1 (No. 36)
Asymmetric unit:
Ca: 0.000 0.032 0.000 x4
Ca: 0.000 0.299 0.179 x4
Tl: 0.000 0.386 0.790 x4

***

[3]
DFT (PBEsol) results for an optimized crystal structure of ScCr3Ir.

* formation energy: 1.113 eV per atom
* size of the total moment: 7.2 μB/f.u.

Unit cell a=4.584 b=4.584 c=4.584 alpha=90.00 beta=90.00 gamma=90.00
Space group Pm-3m (No. 221)
Asymmetric unit:
Sc: 0.000 0.000 0.000 x1
Cr: 0.000 0.500 0.500 x3
Ir: 0.500 0.500 0.500 x1

***

[4]
DFT (PBEsol) results for an optimized crystal structure of Pd3Se2S.

* size of the total moment: 0.0 μB/f.u.

Unit cell a=11.357 b=11.357 c=6.914 alpha=90.00 beta=90.00 gamma=90.00
Space group P4_2/mbc (No. 135)
Asymmetric unit:
Pd: 0.045 0.130 0.000 x8
Pd: 0.109 0.609 0.250 x8
Pd: 0.140 0.279 0.500 x8
Se: 0.114 0.822 0.222 x16
S: 0.095 0.405 0.250 x8

***

Number 1: uncorrected energy -6.40 eV per atom, theoretical density 5.93 g/cm3. Number 2: uncorrected energy -2.59 eV per atom, theoretical density 4.74 g/cm3. Number 3: uncorrected energy -8.32 eV per atom, theoretical density 6.78 g/cm3. Number 4: uncorrected energy -5.36 eV per atom, theoretical density 7.59 g/cm3.